First-principles (PBE) data for a relaxed Pr2Dy2Ho15 crystal, as listed in Alexandria.

Cell: 8.693 8.693 8.693 Å, 79.92 79.92 79.92°
Fractional coordinates of all 19 atoms:
Ho  0.000  0.304  0.696
Dy  0.330  0.330  0.330
Ho  0.304  0.000  0.696
Pr  0.118  0.118  0.118
Dy  0.670  0.670  0.670
Ho  0.696  0.000  0.304
Ho  0.000  0.500  0.000
Ho  0.154  0.631  0.631
Ho  0.369  0.369  0.846
Ho  0.369  0.846  0.369
Ho  0.631  0.154  0.631
Ho  0.304  0.696  0.000
Pr  0.882  0.882  0.882
Ho  0.696  0.304  0.000
Ho  0.846  0.369  0.369
Ho  0.000  0.000  0.500
Ho  0.631  0.631  0.154
Ho  0.500  0.000  0.000
Ho  0.000  0.696  0.304

volume	33.15	Å³/atom
formation energy from the elements	0.294	eV per atom